Entry 1:
# Mg17Al11Ir | Alexandria via LeMat-Bulk | PBE | optimized geometry
data_Mg17Al11Ir
_cell_length_a 9.1021
_cell_length_b 9.1021
_cell_length_c 8.8785
_cell_angle_alpha 109.01
_cell_angle_beta 109.01
_cell_angle_gamma 110.03
_symmetry_space_group_name_H-M 'P 1'
_symmetry_Int_Tables_number 1
_symmetry_space_group_name_Hall 'P 1'
loop_
_atom_site_label
_atom_site_fract_x
_atom_site_fract_y
_atom_site_fract_z
Mg1 0.0000 0.0000 0.0000
Mg2 0.0007 0.3327 0.9921
Mg3 0.0032 0.3136 0.6154
Mg4 0.0054 0.0054 0.3662
Mg5 0.2849 0.6797 0.6883
Mg6 0.3127 0.5939 0.0022
Mg7 0.3136 0.0032 0.6154
Mg8 0.3327 0.0007 0.9921
Mg9 0.3836 0.3836 0.7213
Mg10 0.4006 0.7153 0.4037
Mg11 0.5939 0.3127 0.0022
Mg12 0.5947 0.9994 0.3173
Mg13 0.6477 0.6477 0.6596
Mg14 0.6797 0.2849 0.6883
Mg15 0.6795 0.6795 0.2898
Mg16 0.7153 0.4006 0.4037
Mg17 0.9994 0.5947 0.3173
Al1 0.0009 0.8197 0.6388
Al2 0.1847 0.3678 0.3695
Al3 0.1854 0.8219 0.1923
Al4 0.3562 0.3562 0.1590
Al5 0.3678 0.1847 0.3695
Al6 0.6291 0.9968 0.8157
Al7 0.6367 0.8151 0.0090
Al8 0.8151 0.6367 0.0090
Al9 0.8197 0.0009 0.6388
Al10 0.8219 0.1854 0.1923
Al11 0.9968 0.6291 0.8157
Ir1 0.1673 0.1673 0.8125
# - Magnetic moment: 0.00 μB per cell
# - VASP energy: -2.75 eV/atom
# - Density of states at the Fermi level: 0.326 states/eV/atom

Entry 2:
# Ce6ZnRh2 | Alexandria via LeMat-Bulk | PBE | optimized geometry
data_Ce6ZnRh2
_cell_length_a 5.6412
_cell_length_b 5.6412
_cell_length_c 8.6578
_cell_angle_alpha 95.65
_cell_angle_beta 95.65
_cell_angle_gamma 50.08
_symmetry_space_group_name_H-M 'P 1'
_symmetry_Int_Tables_number 1
_symmetry_space_group_name_Hall 'P 1'
loop_
_atom_site_label
_atom_site_fract_x
_atom_site_fract_y
_atom_site_fract_z
Ce1 0.0561 0.0561 0.3542
Ce2 0.3027 0.3027 0.9199
Ce3 0.3941 0.3941 0.3166
Ce4 0.6059 0.6059 0.6834
Ce5 0.6973 0.6973 0.0801
Ce6 0.9439 0.9439 0.6458
Zn1 0.0000 0.0000 0.0000
Rh1 0.2677 0.2677 0.6180
Rh2 0.7323 0.7323 0.3820
# - Magnetic moment: 1.51 μB per cell
# - E above lowest polymorph: 0.0 meV per atom
# - VASP energy: -6.12 eV/atom
# - Density of states at the Fermi level: 2.128 states/eV/atom

Entry 3:
# CeGeW | Alexandria via LeMat-Bulk | PBE | optimized geometry
data_CeGeW
_cell_length_a 3.9732
_cell_length_b 3.9732
_cell_length_c 7.9803
_cell_angle_alpha 90.00
_cell_angle_beta 90.00
_cell_angle_gamma 90.00
_symmetry_space_group_name_H-M 'P 1'
_symmetry_Int_Tables_number 1
_symmetry_space_group_name_Hall 'P 1'
loop_
_atom_site_label
_atom_site_fract_x
_atom_site_fract_y
_atom_site_fract_z
Ce1 0.2500 0.2500 0.1429
Ce2 0.7500 0.7500 0.8571
Ge1 0.2500 0.2500 0.7287
Ge2 0.7500 0.7500 0.2713
W1 0.2500 0.7500 0.5000
W2 0.7500 0.2500 0.5000
# - Magnetic moment: 2.07 μB per cell
# - VASP energy: -8.09 eV/atom
# - Density of states at the Fermi level: 2.059 states/eV/atom

Q: VASP energy of number 3 (CeGeW)?
A: -8.09 eV/atom

What did the second record say?
# Ce6ZnRh2 | Alexandria via LeMat-Bulk | PBE | optimized geometry
data_Ce6ZnRh2
_cell_length_a 5.6412
_cell_length_b 5.6412
_cell_length_c 8.6578
_cell_angle_alpha 95.65
_cell_angle_beta 95.65
_cell_angle_gamma 50.08
_symmetry_space_group_name_H-M 'P 1'
_symmetry_Int_Tables_number 1
_symmetry_space_group_name_Hall 'P 1'
loop_
_atom_site_label
_atom_site_fract_x
_atom_site_fract_y
_atom_site_fract_z
Ce1 0.0561 0.0561 0.3542
Ce2 0.3027 0.3027 0.9199
Ce3 0.3941 0.3941 0.3166
Ce4 0.6059 0.6059 0.6834
Ce5 0.6973 0.6973 0.0801
Ce6 0.9439 0.9439 0.6458
Zn1 0.0000 0.0000 0.0000
Rh1 0.2677 0.2677 0.6180
Rh2 0.7323 0.7323 0.3820
# - Magnetic moment: 1.51 μB per cell
# - E above lowest polymorph: 0.0 meV per atom
# - VASP energy: -6.12 eV/atom
# - Density of states at the Fermi level: 2.128 states/eV/atom